(1)
# Si3Ru5

A geometry-optimized Si3Ru5 structure (PBEsol, Alexandria via LeMat-Bulk).

Cell lengths 5.198, 9.763, 4.011 Å; angles 90.00, 90.00, 90.00 degrees
Space group Pbam (No. 55)
One atom of each set of equivalent atoms:
Si 0.000 0.000 0.000 [2 per cell]
Si 0.134 0.364 0.500 [4 per cell]
Ru 0.000 0.500 0.000 [2 per cell]
Ru 0.157 0.772 0.000 [4 per cell]
Ru 0.166 0.110 0.500 [4 per cell]

Calculated values
* polymorph energy (0 for the lowest one): 0 meV per atom


(2)
# Sm3Si2Ru2

A geometry-optimized Sm3Si2Ru2 structure (PBEsol, Alexandria via LeMat-Bulk).

Cell lengths 5.602, 7.650, 13.313 Å; angles 90.00, 90.00, 90.00 degrees
Space group Pbcm (No. 57)
One atom of each set of equivalent atoms:
Sm 0.128 0.244 0.250 [4 per cell]
Sm 0.355 0.600 0.100 [8 per cell]
Si 0.103 0.250 0.000 [4 per cell]
Si 0.357 0.606 0.750 [4 per cell]
Ru 0.147 0.528 0.590 [8 per cell]


(3)
# SmSi2Ru2

A geometry-optimized SmSi2Ru2 structure (PBEsol, Alexandria via LeMat-Bulk).

Cell lengths 4.152, 4.152, 9.614 Å; angles 90.00, 90.00, 90.00 degrees
Space group I4/mmm (No. 139)
One atom of each set of equivalent atoms:
Sm 0.000 0.000 0.000 [2 per cell]
Si 0.000 0.000 0.367 [4 per cell]
Ru 0.000 0.500 0.250 [4 per cell]


Number 1: DFT total energy -9.000 eV/atom, D(E_F) 14.17 states/eV per cell, E_form (uncorrected) -0.487 eV per atom. Number 2: DFT total energy -7.409 eV/atom, D(E_F) 12.51 states/eV per cell, E_form (uncorrected) -0.678 eV per atom. Number 3: DFT total energy -8.296 eV/atom, D(E_F) 5.16 states/eV per cell, E_form (uncorrected) -0.910 eV per atom.